No. 1
Nd4InGe: relaxed, PBE.

Cell: 5.9496 6.9566 9.8326 Å, 90.00 117.17 90.00°
Atoms (fractional coordinates):
Nd (0.3122, 0.7500, 0.1351)
Nd (0.3945, 0.7500, 0.5477)
Nd (0.8982, 0.0140, 0.2422)
Nd (0.1018, 0.9860, 0.7578)
Nd (0.6878, 0.2500, 0.8649)
Nd (0.1018, 0.5140, 0.7578)
Nd (0.8982, 0.4860, 0.2422)
Nd (0.6055, 0.2500, 0.4523)
In (0.3129, 0.2500, 0.0825)
In (0.6871, 0.7500, 0.9175)
Ge (0.8034, 0.7500, 0.4581)
Ge (0.1966, 0.2500, 0.5419)

crystal system	monoclinic
relative energy among the computed polymorphs	0	meV/atom
DOS(E_F)	0.920	states/eV/atom
symmetry	P2_1/m
magnetic moment	0.000	μB/f.u.



No. 2
NdInGe: relaxed, PBE.

Cell: 4.3162 4.3162 5.3380 Å, 113.85 113.85 90.00°
Atoms (fractional coordinates):
Ge (0.2743, 0.2743, 0.5486)
Nd (0.6140, 0.6140, 0.2280)
In (0.9617, 0.9617, 0.9234)

E_tot	-4.286	eV/atom
crystal system	tetragonal
DOS(E_F)	0.517	states/eV/atom
symmetry	I4mm
magnetic moment	0.000	μB/f.u.



No. 3
NdInGe: relaxed, PBE.

Cell: 4.0127 4.3019 9.2824 Å, 103.40 90.00 90.00°
Atoms (fractional coordinates):
Ge (0.2500, 0.4526, 0.9051)
Ge (0.7500, 0.5474, 0.0949)
Nd (0.7500, 0.9072, 0.8143)
Nd (0.2500, 0.0928, 0.1857)
In (0.2500, 0.2833, 0.5666)
In (0.7500, 0.7167, 0.4334)

E_tot	-4.594	eV/atom
crystal system	orthorhombic
DOS(E_F)	0.624	states/eV/atom
symmetry	Cmcm
magnetic moment	0.000	μB/f.u.



No. 4
Nd8In2Ge: relaxed, PBE.

Cell: 5.3096 6.9802 10.0530 Å, 105.27 105.31 90.00°
Atoms (fractional coordinates):
Nd (0.3469, 0.0179, 0.6939)
Nd (0.5913, 0.4599, 0.1825)
Nd (0.9901, 0.2284, 0.9803)
Nd (0.6531, 0.9821, 0.3061)
Nd (0.2124, 0.3072, 0.4249)
Nd (0.0099, 0.7716, 0.0197)
Nd (0.7876, 0.6928, 0.5751)
Nd (0.4087, 0.5401, 0.8175)
Ge (0.5000, 0.0000, 0.0000)
In (0.1768, 0.7403, 0.3536)
In (0.8232, 0.2597, 0.6464)

E_tot	-4.686	eV/atom
crystal system	monoclinic
DOS(E_F)	1.048	states/eV/atom
symmetry	C2/m
magnetic moment	0.000	μB/f.u.



No. 5
Nd7In2Ge2: relaxed, PBE.

Cell: 7.0605 7.3837 7.0605 Å, 90.00 106.79 90.00°
Atoms (fractional coordinates):
In (0.8296, 0.5000, 0.8296)
In (0.1704, 0.5000, 0.1704)
Nd (0.0000, 0.0000, 0.0000)
Nd (0.0000, 0.7264, 0.5000)
Nd (0.5000, 0.7264, 0.0000)
Nd (0.5000, 0.2513, 0.5000)
Nd (0.5000, 0.2736, 0.0000)
Nd (0.0000, 0.2736, 0.5000)
Nd (0.5000, 0.7487, 0.5000)
Ge (0.7196, 0.0000, 0.2804)
Ge (0.2804, 0.0000, 0.7196)

E_tot	-4.719	eV/atom
crystal system	orthorhombic
DOS(E_F)	1.194	states/eV/atom
symmetry	Cmmm
magnetic moment	0.001	μB/f.u.



No. 6
NdIn2Ge: relaxed, PBE.

Cell: 3.4515 3.4515 11.1595 Å, 81.10 81.10 60.00°
Atoms (fractional coordinates):
In (0.0979, 0.0979, 0.7063)
In (0.9021, 0.9021, 0.2937)
Ge (0.5000, 0.5000, 0.5000)
Nd (0.0000, 0.0000, 0.0000)

crystal system	trigonal
relative energy among the computed polymorphs	613	meV/atom
DOS(E_F)	0.462	states/eV/atom
symmetry	R-3m
magnetic moment	0.000	μB/f.u.



No. 7
NdIn2Ge: relaxed, PBE.

Cell: 4.9685 4.4442 4.4442 Å, 90.00 90.00 90.00°
Atoms (fractional coordinates):
Ge (0.5000, 0.0000, 0.0000)
In (0.0000, 0.0000, 0.5000)
In (0.0000, 0.5000, 0.0000)
Nd (0.5000, 0.5000, 0.5000)

crystal system	tetragonal
relative energy among the computed polymorphs	0	meV/atom
DOS(E_F)	0.360	states/eV/atom
symmetry	P4/mmm
magnetic moment	0.000	μB/f.u.



No. 8
NdIn2Ni2Ge: relaxed, PBE.

Cell: 4.5066 4.5066 5.9633 Å, 90.00 90.00 90.00°
Atoms (fractional coordinates):
Ge (0.0000, 0.0000, 0.0000)
Ni (0.0000, 0.5000, 0.0000)
Ni (0.5000, 0.0000, 0.0000)
In (0.5000, 0.5000, 0.2599)
In (0.5000, 0.5000, 0.7401)
Nd (0.0000, 0.0000, 0.5000)

E_tot	-4.714	eV/atom
crystal system	tetragonal
DOS(E_F)	0.624	states/eV/atom
symmetry	P4/mmm
magnetic moment	0.000	μB/f.u.



No. 9
Nd3InGe2Pd9: relaxed, PBE.

Cell: 5.7503 5.7503 11.7852 Å, 90.00 90.00 120.00°
Atoms (fractional coordinates):
Pd (0.8384, 0.1616, 0.6871)
Pd (0.8384, 0.6769, 0.6871)
Pd (0.5000, 0.5000, 0.0000)
Pd (0.1616, 0.8384, 0.3129)
Pd (0.6769, 0.8384, 0.3129)
Pd (0.1616, 0.3231, 0.3129)
Pd (0.3231, 0.1616, 0.6871)
Pd (0.5000, 0.0000, 0.0000)
Pd (0.0000, 0.5000, 0.0000)
Nd (0.6667, 0.3333, 0.2399)
Nd (0.0000, 0.0000, 0.0000)
Nd (0.3333, 0.6667, 0.7601)
Ge (0.3333, 0.6667, 0.1610)
Ge (0.6667, 0.3333, 0.8390)
In (0.0000, 0.0000, 0.5000)

E_tot	-5.428	eV/atom
crystal system	trigonal
DOS(E_F)	0.572	states/eV/atom
symmetry	P-3m1
magnetic moment	0.000	μB/f.u.



No. 10
Nd2InGe4Pd3: relaxed, PBE.

Cell: 4.3064 4.3064 10.8879 Å, 90.00 90.00 90.00°
Atoms (fractional coordinates):
Nd (0.0000, 0.5000, 0.7623)
Nd (0.5000, 0.0000, 0.2377)
Pd (0.5000, 0.0000, 0.8763)
Pd (0.0000, 0.5000, 0.1237)
Pd (0.0000, 0.0000, 0.5000)
Ge (0.0000, 0.5000, 0.3479)
Ge (0.0000, 0.0000, 0.0000)
Ge (0.5000, 0.5000, 0.0000)
Ge (0.5000, 0.0000, 0.6521)
In (0.5000, 0.5000, 0.5000)

E_tot	-5.348	eV/atom
crystal system	tetragonal
DOS(E_F)	0.278	states/eV/atom
symmetry	P-4m2
magnetic moment	0.000	μB/f.u.



No. 11
NdInGePd: relaxed, PBE.

Cell: 4.9803 4.9803 4.9803 Å, 60.00 60.00 60.00°
Atoms (fractional coordinates):
In (0.5000, 0.5000, 0.5000)
Ge (0.2500, 0.2500, 0.2500)
Pd (0.7500, 0.7500, 0.7500)
Nd (0.0000, 0.0000, 0.0000)

E_tot	-4.861	eV/atom
crystal system	cubic
DOS(E_F)	0.535	states/eV/atom
symmetry	F-43m
magnetic moment	0.000	μB/f.u.



No. 12
Nd2InGe3Pd4: relaxed, PBE.

Cell: 4.3563 4.3563 10.5843 Å, 90.00 90.00 90.00°
Atoms (fractional coordinates):
Ge (0.5000, 0.0000, 0.8768)
Ge (0.0000, 0.5000, 0.1232)
Ge (0.0000, 0.0000, 0.5000)
In (0.5000, 0.5000, 0.5000)
Pd (0.5000, 0.0000, 0.6458)
Pd (0.0000, 0.5000, 0.3542)
Pd (0.5000, 0.5000, 0.0000)
Pd (0.0000, 0.0000, 0.0000)
Nd (0.5000, 0.0000, 0.2408)
Nd (0.0000, 0.5000, 0.7592)

E_tot	-5.469	eV/atom
crystal system	tetragonal
DOS(E_F)	0.462	states/eV/atom
symmetry	P-4m2
magnetic moment	0.000	μB/f.u.



No. 13
NdInGe2Pd5: relaxed, PBE.

Cell: 4.6278 4.6278 7.9197 Å, 90.00 90.00 90.00°
Atoms (fractional coordinates):
In (0.0000, 0.0000, 0.0000)
Pd (0.0000, 0.5000, 0.7389)
Pd (0.0000, 0.5000, 0.2611)
Pd (0.5000, 0.5000, 0.5000)
Pd (0.5000, 0.0000, 0.2611)
Pd (0.5000, 0.0000, 0.7389)
Ge (0.5000, 0.5000, 0.8455)
Ge (0.5000, 0.5000, 0.1545)
Nd (0.0000, 0.0000, 0.5000)

E_tot	-5.264	eV/atom
crystal system	tetragonal
DOS(E_F)	0.515	states/eV/atom
symmetry	P4/mmm
magnetic moment	0.000	μB/f.u.



No. 14
Nd2InGePd6: relaxed, PBE.

Cell: 6.4789 6.7716 8.9994 Å, 45.87 48.60 74.04°
Atoms (fractional coordinates):
Nd (0.7519, 0.2482, 0.4999)
Nd (0.2481, 0.7518, 0.5001)
Pd (0.2004, 0.3069, 0.4866)
Pd (0.6934, 0.7996, 0.9937)
Pd (0.7473, 0.2524, 0.1791)
Pd (0.7996, 0.6931, 0.5134)
Pd (0.2527, 0.7476, 0.8209)
Pd (0.3066, 0.2004, 0.0063)
In (0.0000, 0.0000, 0.0000)
Ge (0.5000, 0.5000, 0.0000)

E_tot	-5.435	eV/atom
crystal system	monoclinic
DOS(E_F)	0.466	states/eV/atom
symmetry	C2/m
magnetic moment	0.000	μB/f.u.



No. 15
PrNdInGe: relaxed, PBE.

Cell: 5.3780 5.3780 5.3780 Å, 60.00 60.00 60.00°
Atoms (fractional coordinates):
In (0.2500, 0.2500, 0.2500)
Pr (0.0000, 0.0000, 0.0000)
Nd (0.5000, 0.5000, 0.5000)
Ge (0.7500, 0.7500, 0.7500)

E_tot	-4.719	eV/atom
crystal system	cubic
DOS(E_F)	0.575	states/eV/atom
symmetry	F-43m
magnetic moment	0.000	μB/f.u.



No. 16
Nd2InGe3Pt4: relaxed, PBE.

Cell: 4.3921 4.3921 10.4649 Å, 90.00 90.00 90.00°
Atoms (fractional coordinates):
Nd (0.0000, 0.5000, 0.7574)
Nd (0.5000, 0.0000, 0.2426)
Pt (0.5000, 0.5000, 0.0000)
Pt (0.5000, 0.0000, 0.6440)
Pt (0.0000, 0.5000, 0.3560)
Pt (0.0000, 0.0000, 0.0000)
Ge (0.0000, 0.5000, 0.1233)
Ge (0.0000, 0.0000, 0.5000)
Ge (0.5000, 0.0000, 0.8767)
In (0.5000, 0.5000, 0.5000)

E_tot	-5.909	eV/atom
crystal system	tetragonal
DOS(E_F)	0.447	states/eV/atom
symmetry	P-4m2
magnetic moment	0.000	μB/f.u.



No. 17
NdIn2Ge2Pt7: relaxed, PBE.

Cell: 4.0388 4.0388 15.0729 Å, 79.96 79.96 90.29°
Atoms (fractional coordinates):
Ge (0.6663, 0.6663, 0.7455)
Ge (0.3337, 0.3337, 0.2545)
Pt (0.5000, 0.5000, 0.0000)
Pt (0.3989, 0.8988, 0.1546)
Pt (0.8052, 0.8052, 0.5798)
Pt (0.1012, 0.6011, 0.8454)
Pt (0.8988, 0.3989, 0.1546)
Pt (0.1948, 0.1948, 0.4202)
Pt (0.6011, 0.1012, 0.8454)
In (0.2956, 0.2956, 0.5952)
In (0.7044, 0.7044, 0.4048)
Nd (0.0000, 0.0000, 0.0000)

E_tot	-5.687	eV/atom
crystal system	monoclinic
DOS(E_F)	0.263	states/eV/atom
symmetry	C2/m
magnetic moment	0.000	μB/f.u.



No. 18
Nd2InGePt6: relaxed, PBE.

Cell: 6.6218 6.9656 5.5011 Å, 66.75 65.46 80.29°
Atoms (fractional coordinates):
Ge (0.5000, 0.5000, 0.0000)
Pt (0.2706, 0.2524, 0.4878)
Pt (0.7294, 0.7476, 0.5122)
Pt (0.9056, 0.4083, 0.8427)
Pt (0.2705, 0.2528, 0.9889)
Pt (0.0944, 0.5917, 0.1573)
Pt (0.7295, 0.7472, 0.0112)
In (0.0000, 0.0000, 0.0000)
Nd (0.7135, 0.2096, 0.5379)
Nd (0.2865, 0.7904, 0.4621)

E_tot	-6.041	eV/atom
crystal system	monoclinic
DOS(E_F)	0.387	states/eV/atom
symmetry	C2/m
magnetic moment	0.000	μB/f.u.



No. 19
NdInGe2Rh5: relaxed, PBE.

Cell: 4.6529 4.6529 7.4260 Å, 90.00 90.00 90.00°
Atoms (fractional coordinates):
Rh (0.5000, 0.0000, 0.7723)
Rh (0.0000, 0.5000, 0.7723)
Rh (0.5000, 0.5000, 0.5000)
Rh (0.5000, 0.0000, 0.2277)
Rh (0.0000, 0.5000, 0.2277)
Nd (0.0000, 0.0000, 0.5000)
In (0.0000, 0.0000, 0.0000)
Ge (0.5000, 0.5000, 0.8295)
Ge (0.5000, 0.5000, 0.1705)

E_tot	-6.309	eV/atom
crystal system	tetragonal
DOS(E_F)	0.423	states/eV/atom
symmetry	P4/mmm
magnetic moment	0.000	μB/f.u.



No. 20
Nd2InGe3Rh4: relaxed, PBE.

Cell: 4.2693 4.2693 10.5493 Å, 90.00 90.00 90.00°
Atoms (fractional coordinates):
Ge (0.0000, 0.0000, 0.5000)
Ge (0.5000, 0.0000, 0.8759)
Ge (0.0000, 0.5000, 0.1241)
Nd (0.5000, 0.0000, 0.2448)
Nd (0.0000, 0.5000, 0.7552)
Rh (0.0000, 0.5000, 0.3541)
Rh (0.5000, 0.0000, 0.6459)
Rh (0.0000, 0.0000, 0.0000)
Rh (0.5000, 0.5000, 0.0000)
In (0.5000, 0.5000, 0.5000)

E_tot	-6.337	eV/atom
crystal system	tetragonal
DOS(E_F)	0.729	states/eV/atom
symmetry	P-4m2
magnetic moment	0.000	μB/f.u.